# 1
A relaxed Sc2BeP crystal. Source: Alexandria, functional PBE.

extended XYZ file:
```
4
Lattice="0.0000 3.1879 3.1879 3.1879 0.0000 3.1879 3.1879 3.1879 0.0000" Properties=species:S:1:pos:R:3 pbc="T T T"
Sc 0.0000 0.0000 0.0000
Sc 1.5940 1.5940 1.5940
Be 4.7819 4.7819 4.7819
P 3.1879 3.1879 3.1879
```

Crystal system: cubic
SG: F-43m, No. 216
ΔH_f (0 K) in eV/atom: 0.22

# 2
A relaxed Li7NbS6 crystal. Source: Alexandria, functional PBE.

extended XYZ file:
```
56
Lattice="10.1753 0.0000 0.0000 0.0000 10.1753 0.0000 0.0000 0.0000 10.1753" Properties=species:S:1:pos:R:3 pbc="T T T"
Li 0.1146 2.8592 1.9108
Li 0.2132 8.4787 6.9013
Li 1.1542 6.2418 9.0211
Li 1.6966 1.8137 4.8744
Li 1.8137 4.8744 1.6966
Li 1.9108 0.1146 2.8592
Li 2.2284 8.2644 5.2023
Li 2.8592 1.9108 0.1146
Li 3.1768 10.0607 7.9469
Li 3.2739 5.3009 6.7842
Li 3.3910 8.3616 9.9620
Li 3.9335 3.9335 3.9335
Li 4.8744 1.6966 1.8137
Li 4.9730 7.3160 6.9985
Li 5.2023 2.2284 8.2644
Li 5.3009 6.7842 3.2739
Li 6.2418 9.0211 1.1542
Li 6.7842 3.2739 5.3009
Li 6.9013 0.2132 8.4787
Li 6.9985 4.9730 7.3160
Li 7.3160 6.9985 4.9730
Li 7.9469 3.1768 10.0607
Li 8.2644 5.2023 2.2284
Li 8.3616 9.9620 3.3910
Li 8.4787 6.9013 0.2132
Li 9.0211 1.1542 6.2418
Li 9.9620 3.3910 8.3616
Li 10.0607 7.9469 3.1768
Nb 0.0953 4.9923 5.1829
Nb 4.9923 5.1829 0.0953
Nb 5.1829 0.0953 4.9923
Nb 10.0800 10.0800 10.0800
S 0.2775 9.8977 4.8101
S 1.1493 1.2198 8.6849
S 1.2198 8.6849 1.1493
S 1.4079 3.6798 6.4955
S 1.4904 6.2369 3.8678
S 2.5034 2.5034 2.5034
S 2.5842 7.6719 7.5910
S 3.5973 3.9383 8.9555
S 3.6798 6.4955 1.4079
S 3.8678 1.4904 6.2369
S 3.9383 8.9555 3.5973
S 4.8101 0.2775 9.8977
S 5.3652 5.3652 5.3652
S 6.2369 3.8678 1.4904
S 6.3074 6.5780 9.0260
S 6.4955 1.4079 3.6798
S 6.5780 9.0260 6.3074
S 7.5910 2.5842 7.6719
S 7.6719 7.5910 2.5842
S 8.6849 1.1493 1.2198
S 8.7674 8.7674 8.7674
S 8.9555 3.5973 3.9383
S 9.0260 6.3074 6.5780
S 9.8977 4.8101 0.2775
```

Crystal system: cubic
SG: P2_13, No. 198
ΔE_f (raw) in kJ/mol of formula units: -1573

# 3
A relaxed Ir3Ru2 crystal. Source: Alexandria, functional PBE.

extended XYZ file:
```
10
Lattice="0.0000 6.7533 2.3640 4.5503 0.0000 2.3640 4.5503 6.7533 0.0000" Properties=species:S:1:pos:R:3 pbc="T T T"
Ir 0.0000 0.0000 0.0000
Ir 2.2751 3.3767 1.1820
Ir 4.2608 5.4108 2.2939
Ir 4.8398 8.0959 2.2939
Ir 7.1149 8.7875 3.4758
Ir 6.5359 11.4725 3.4758
Ru 4.7391 2.7462 2.1714
Ru 6.6366 6.1228 3.3533
Ru 4.3614 10.7605 2.1714
Ru 2.4640 7.3839 3.3533
```

Crystal system: orthorhombic
SG: Fdd2, No. 43
ΔH_f (0 K) in eV/atom: 0.14

| no. | theoretical density (g cm⁻³) | polymorph energy (0 for the lowest one) (eV/atom) |
| --- | --- | --- |
| 1 | 3.33 | 1.066 |
| 2 | 2.11 | 0.011 |
| 3 | 17.80 | 0.159 |